The following is a GGA-PBE calculation of an optimized crystal structure of Ac4AgBi2, from the Alexandria database.

a b c (Å): 5.7757 5.7757 18.0125
angles (deg): 90.00 90.00 90.00
Closest atoms and distances in Å follow each position.
Space group I4/mmm (No. 139)
One atom of each set of equivalent atoms:
Ac 0.0000 0.0000 0.1799  1 Ag 3.24, 1 Bi 3.39
Ac 0.0000 0.5000 0.0000  2 Ag 2.89
Ag 0.0000 0.0000 0.0000  4 Ac 2.89
Bi 0.0000 0.0000 0.3678  5 Ac 3.39-3.74

density of states at the Fermi level: 10.31 states/eV per cell
energy relative to the elements: -0.301 eV per atom
crystal system: tetragonal
mass density: 7925 kg/m3
energy: -4.17 eV/atom